Run one
DFT (PBE-GGA) results for an optimized crystal structure of InCuReAu.

Results
Mass density = 13.9 g/cm³
Magnetic moment = 1.5 μB/f.u.

Unit cell a=6.452 b=6.452 c=6.452 alpha=90.00 beta=90.00 gamma=90.00
Space group F-43m (No. 216)
Unique sites:
In 0.000 0.000 0.000 x4
Cu 0.250 0.250 0.250 x4
Re 0.250 0.250 0.750 x4
Au 0.000 0.000 0.500 x4

Run two
DFT (PBE-GGA) results for an optimized crystal structure of InCuReAu.

Results
Mass density = 13.9 g/cm³
Magnetic moment = 2.1 μB/f.u.

Unit cell a=6.455 b=6.455 c=6.455 alpha=90.00 beta=90.00 gamma=90.00
Space group F-43m (No. 216)
Unique sites:
In 0.000 0.000 0.000 x4
Cu 0.250 0.250 0.250 x4
Re 0.000 0.000 0.500 x4
Au 0.250 0.250 0.750 x4

Top of the stability list: run one, leading by 4.0 kJ/mol of atoms.

Run one
DFT (PBE-GGA) results for an optimized crystal structure of LaLuCuAu.

Results
Mass density = 10.2 g/cm³
Magnetic moment = 0.0 μB/f.u.

Unit cell a=7.215 b=7.215 c=7.215 alpha=90.00 beta=90.00 gamma=90.00
Space group F-43m (No. 216)
Unique sites:
La 0.000 0.000 0.000 x4
Lu 0.000 0.000 0.500 x4
Cu 0.250 0.250 0.250 x4
Au 0.250 0.250 0.750 x4

Run two
DFT (PBE-GGA) results for an optimized crystal structure of LaLuCuAu.

Results
Mass density = 11.4 g/cm³
Magnetic moment = 0.0 μB/f.u.

Unit cell a=6.939 b=6.939 c=6.939 alpha=90.00 beta=90.00 gamma=90.00
Space group F-43m (No. 216)
Unique sites:
La 0.000 0.000 0.000 x4
Lu 0.250 0.250 0.250 x4
Cu 0.250 0.250 0.750 x4
Au 0.000 0.000 0.500 x4

Top of the stability list: run one, leading by 19.2 kJ/mol of atoms.

Run one
DFT (PBE-GGA) results for an optimized crystal structure of LuCuSbAu.

Results
Mass density = 11.4 g/cm³
Magnetic moment = 0.0 μB/f.u.

Unit cell a=6.863 b=6.863 c=6.863 alpha=90.00 beta=90.00 gamma=90.00
Space group F-43m (No. 216)
Unique sites:
Lu 0.000 0.000 0.000 x4
Cu 0.250 0.250 0.750 x4
Sb 0.000 0.000 0.500 x4
Au 0.250 0.250 0.250 x4

Run two
DFT (PBE-GGA) results for an optimized crystal structure of LuCuSbAu.

Results
Mass density = 11.3 g/cm³
Magnetic moment = 0.0 μB/f.u.

Unit cell a=6.903 b=6.903 c=6.903 alpha=90.00 beta=90.00 gamma=90.00
Space group F-43m (No. 216)
Unique sites:
Lu 0.000 0.000 0.000 x4
Cu 0.000 0.000 0.500 x4
Sb 0.250 0.250 0.250 x4
Au 0.250 0.250 0.750 x4

Top of the stability list: run two, leading by 0.8 kJ/mol of atoms.